Entry from the Alexandria database: an optimized crystal structure of Be4MoAs (GGA-PBEsol).

a = 4.4342 Å, b = 4.4342 Å, c = 4.4342 Å
α = 60.00°, β = 60.00°, γ = 60.00°
With the nearest neighbours (Å) after each atom.
Atoms (fractional coordinates):
As 0.0000 0.0000 0.0000  12 Be 2.61, 4 Mo 2.72
Be 0.3779 0.8663 0.3779  6 Be 2.17-2.27
Mo 0.7500 0.7500 0.7500  12 Be 2.59, 4 As 2.72
Be 0.8663 0.3779 0.3779  6 Be 2.17-2.27
Be 0.3779 0.3779 0.3779  6 Be 2.17-2.27
Be 0.3779 0.3779 0.8663  6 Be 2.17-2.27

Results
**Symmetry**: F-43m

Entry from the Alexandria database: an optimized crystal structure of CsH2I (GGA-PBEsol).

a = 5.1333 Å, b = 5.1333 Å, c = 8.4528 Å
α = 107.68°, β = 107.68°, γ = 90.00°
With the nearest neighbours (Å) after each atom.
Atoms (fractional coordinates):
H 0.1250 0.4094 0.7500  2 I 2.31
H 0.6594 0.8750 0.2500  2 I 2.31
Cs 0.0000 0.0000 0.0000  8 H 3.32-3.58, 4 I 3.63
H 0.5906 0.3750 0.2500  2 I 2.31
Cs 0.2500 0.7500 0.5000  8 H 3.32-3.58, 4 I 3.63
I 0.5000 0.5000 0.0000  4 H 2.31
H 0.6250 0.3406 0.7500  2 I 2.31
I 0.7500 0.2500 0.5000  4 H 2.31

Results
**Symmetry**: I-42d

Entry from the Alexandria database: an optimized crystal structure of SrAlNi2 (GGA-PBEsol).

a = 4.5808 Å, b = 4.5808 Å, c = 4.5808 Å
α = 60.00°, β = 60.00°, γ = 60.00°
With the nearest neighbours (Å) after each atom.
Atoms (fractional coordinates):
Ni 0.7500 0.7500 0.7500  4 Al 2.81, 4 Ni 2.81
Ni 0.0000 0.0000 0.0000  4 Sr 2.81, 4 Ni 2.81
Sr 0.2500 0.2500 0.2500  4 Ni 2.81, 4 Al 2.81
Al 0.5000 0.5000 0.5000  4 Ni 2.81, 4 Sr 2.81

Results
**Symmetry**: F-43m

Number 1: energy -5.43 eV per atom, volume 61.6 Å³/cell. Number 2: energy -2.12 eV per atom, volume 201.2 Å³/cell. Number 3: energy -4.17 eV per atom, volume 68.0 Å³/cell.